{"formula": "PaFe2P", "functional": "PBE-GGA", "state": "relaxed", "polymorph_energy_ev_per_atom": 0.209, "total_magnetization_mub_per_fu": 0.42, "sg": "P2/m", "cell": [[4.018, 0.000, 0.000], [0.000, 3.696, 0.000], [-0.268, 0.000, 4.292]], "species": ["Pa", "Fe", "Fe", "P"], "frac_coords": [[0.000, 0.000, 0.000], [0.369, 0.500, 0.753], [0.631, 0.500, 0.247], [0.500, 0.000, 0.500]]}